# 1
La6Sn2Bi, optimized geometry, DFT PBE-GGA; ρ = 7.868 Mg/m³; DFT formation energy = -0.3210 eV per atom; space-group type = No. 191; size of the total moment = 0.00 Bohr magnetons per cell
1.0
9.5756 0.0000 0.0000
-4.7878 8.2927 0.0000
0.0000 0.0000 3.4015
La Sn Bi
6 2 1
Direct
0.0000 0.3406 0.0000
0.0000 0.6594 0.0000
0.3406 0.0000 0.0000
0.3406 0.3406 0.0000
0.6594 0.0000 0.0000
0.6594 0.6594 0.0000
0.3333 0.6667 0.5000
0.6667 0.3333 0.5000
0.0000 0.0000 0.5000

***

# 2
LaSn2Bi3, optimized geometry, DFT PBE-GGA; ρ = 8.365 Mg/m³; DFT formation energy = -0.3021 eV per atom; space-group type = No. 26; size of the total moment = 0.00 Bohr magnetons per cell
1.0
4.7460 0.0000 0.0000
0.0000 12.0572 0.0000
0.0000 0.0000 6.9605
La Sn Bi
2 4 6
Direct
0.0000 0.1212 0.0000
0.0000 0.8788 0.5000
0.0000 0.1888 0.4819
0.0000 0.8112 0.9819
0.5000 0.4593 0.5553
0.5000 0.5407 0.0553
0.0000 0.3764 0.7958
0.0000 0.6236 0.2958
0.5000 0.0210 0.7190
0.5000 0.2902 0.2096
0.5000 0.7098 0.7096
0.5000 0.9790 0.2190

***

# 3
La10Sn3Bi3, optimized geometry, DFT PBE-GGA; ρ = 7.156 Mg/m³; DFT formation energy = -0.7667 eV per atom; space-group type = No. 189; size of the total moment = 2.48 Bohr magnetons per cell
1.0
9.6737 0.0000 0.0000
-4.8369 8.3777 0.0000
0.0000 0.0000 6.7920
La Sn Bi
10 3 3
Direct
0.0000 0.2498 0.0000
0.0000 0.7498 0.5000
0.2498 0.0000 0.0000
0.2502 0.2502 0.5000
0.3333 0.6667 0.2467
0.3333 0.6667 0.7533
0.6667 0.3333 0.2467
0.6667 0.3333 0.7533
0.7498 0.0000 0.5000
0.7502 0.7502 0.0000
0.0000 0.6140 0.0000
0.3860 0.3860 0.0000
0.6140 0.0000 0.0000
0.0000 0.3862 0.5000
0.3862 0.0000 0.5000
0.6138 0.6138 0.5000

***

# 4
La2SnBi, optimized geometry, DFT PBE-GGA; ρ = 7.791 Mg/m³; DFT formation energy = -0.6980 eV per atom; space-group type = No. 225; size of the total moment = 0.00 Bohr magnetons per cell
1.0
0.0000 4.0110 4.0110
4.0110 0.0000 4.0110
4.0110 4.0110 0.0000
La Sn Bi
2 1 1
Direct
0.2500 0.2500 0.2500
0.7500 0.7500 0.7500
0.0000 0.0000 0.0000
0.5000 0.5000 0.5000

***

# 5
La2SnBi, optimized geometry, DFT PBE-GGA; ρ = 8.038 Mg/m³; DFT formation energy = -0.7559 eV per atom; space-group type = No. 123; size of the total moment = 0.00 Bohr magnetons per cell
1.0
3.7206 0.0000 0.0000
0.0000 3.7206 0.0000
0.0000 0.0000 9.0368
La Sn Bi
2 1 1
Direct
0.0000 0.0000 0.2440
0.0000 0.0000 0.7560
0.5000 0.5000 0.0000
0.5000 0.5000 0.5000

***

# 6
LaSn2Bi2, optimized geometry, DFT PBE-GGA; ρ = 7.973 Mg/m³; DFT formation energy = -0.2728 eV per atom; space-group type = No. 139; size of the total moment = 0.00 Bohr magnetons per cell
1.0
-2.2219 2.2219 8.3766
2.2219 -2.2219 8.3766
2.2219 2.2219 -8.3766
La Sn Bi
1 2 2
Direct
0.0000 0.0000 0.0000
0.2500 0.7500 0.5000
0.7500 0.2500 0.5000
0.4068 0.4068 0.0000
0.5932 0.5932 0.0000

***

# 7
La2SnBi3, optimized geometry, DFT PBE-GGA; ρ = 7.793 Mg/m³; DFT formation energy = -0.5482 eV per atom; space-group type = No. 71; size of the total moment = 0.00 Bohr magnetons per cell
1.0
-2.3010 3.3171 7.1427
2.3010 -3.3171 7.1427
2.3010 3.3171 -7.1427
La Sn Bi
2 1 3
Direct
0.1646 0.1646 0.0000
0.8354 0.8354 0.0000
0.5000 0.5000 0.0000
0.0000 0.5000 0.5000
0.3322 0.8322 0.5000
0.6678 0.1678 0.5000

***

# 8
La2SnBi, optimized geometry, DFT PBE-GGA; ρ = 7.245 Mg/m³; DFT formation energy = -0.9121 eV per atom; space-group type = No. 63; size of the total moment = 0.00 Bohr magnetons per cell
1.0
2.3997 -12.6986 0.0000
2.3997 12.6986 0.0000
0.0000 0.0000 4.5542
La Sn Bi
4 2 2
Direct
0.0621 0.9379 0.7500
0.3177 0.6823 0.7500
0.6823 0.3177 0.2500
0.9379 0.0621 0.2500
0.4571 0.5429 0.7500
0.5429 0.4571 0.2500
0.1885 0.8115 0.7500
0.8115 0.1885 0.2500

***

# 9
La2SnBi4, optimized geometry, DFT PBE-GGA; ρ = 8.501 Mg/m³; DFT formation energy = -0.5647 eV per atom; space-group type = No. 115; size of the total moment = 0.00 Bohr magnetons per cell
1.0
4.6301 0.0000 0.0000
0.0000 4.6301 0.0000
0.0000 0.0000 11.2298
La Sn Bi
2 1 4
Direct
0.0000 0.5000 0.2307
0.5000 0.0000 0.7693
0.0000 0.0000 0.5000
0.0000 0.0000 0.0000
0.0000 0.5000 0.6941
0.5000 0.0000 0.3059
0.5000 0.5000 0.0000

***

# 10
La8Sn5Bi, optimized geometry, DFT PBE-GGA; ρ = 6.704 Mg/m³; DFT formation energy = -0.8107 eV per atom; space-group type = No. 82; size of the total moment = 0.00 Bohr magnetons per cell
1.0
-4.9131 4.9131 4.9095
4.9131 -4.9131 4.9095
4.9131 4.9131 -4.9095
La Sn Bi
8 5 1
Direct
0.1267 0.2366 0.7480
0.1265 0.7309 0.7479
0.2691 0.0171 0.3957
0.4885 0.3786 0.2520
0.6214 0.8733 0.1099
0.6214 0.8735 0.6043
0.7634 0.5115 0.8901
0.9829 0.3786 0.2521
0.2476 0.6238 0.1242
0.3762 0.5004 0.6238
0.4996 0.1234 0.8758
0.7500 0.2500 0.5000
0.8766 0.7524 0.3762
0.0000 0.0000 0.0000

***

# 11
La5SnBi4, optimized geometry, DFT PBE-GGA; ρ = 7.499 Mg/m³; DFT formation energy = -0.9549 eV per atom; space-group type = No. 79; size of the total moment = 0.00 Bohr magnetons per cell
1.0
-5.2465 5.2465 3.3167
5.2465 -5.2465 3.3167
5.2465 5.2465 -3.3167
La Sn Bi
5 1 4
Direct
0.0000 0.0000 0.0000
0.2006 0.5996 0.8017
0.3989 0.2006 0.6010
0.5996 0.7979 0.3990
0.7979 0.3989 0.1983
0.5000 0.5000 0.0000
0.0979 0.2999 0.3994
0.2999 0.9005 0.2020
0.6986 0.0979 0.7980
0.9005 0.6986 0.6006

***

# 12
LaSn3Bi, optimized geometry, DFT PBE-GGA; ρ = 5.472 Mg/m³; DFT formation energy = 0.7043 eV per atom; space-group type = No. 221; size of the total moment = 0.00 Bohr magnetons per cell
1.0
5.9781 0.0000 0.0000
0.0000 5.9781 0.0000
0.0000 0.0000 5.9781
La Sn Bi
1 3 1
Direct
0.0000 0.0000 0.0000
0.0000 0.0000 0.5000
0.0000 0.5000 0.0000
0.5000 0.0000 0.0000
0.5000 0.5000 0.5000

***

# 13
La7Sn2Bi2, optimized geometry, DFT PBE-GGA; ρ = 6.495 Mg/m³; DFT formation energy = -0.4522 eV per atom; space-group type = No. 65; size of the total moment = 0.00 Bohr magnetons per cell
1.0
4.9541 -5.9472 0.0000
4.9541 5.9472 0.0000
0.0000 0.0000 7.0626
La Sn Bi
7 2 2
Direct
0.0000 0.0000 0.0000
0.0000 0.5000 0.2806
0.0000 0.5000 0.7194
0.5000 0.0000 0.2806
0.5000 0.0000 0.7194
0.5000 0.5000 0.2578
0.5000 0.5000 0.7422
0.2715 0.7285 0.0000
0.7285 0.2715 0.0000
0.1915 0.1915 0.5000
0.8085 0.8085 0.5000

***

# 14
La5SnBi2, optimized geometry, DFT PBE-GGA; ρ = 7.358 Mg/m³; DFT formation energy = -0.7536 eV per atom; space-group type = No. 55; size of the total moment = 0.00 Bohr magnetons per cell
1.0
8.6412 0.0000 0.0000
0.0000 13.2551 0.0000
0.0000 0.0000 4.8516
La Sn Bi
10 2 4
Direct
0.0000 0.0000 0.0000
0.1463 0.2838 0.0000
0.2159 0.5668 0.5000
0.2841 0.0668 0.5000
0.3537 0.7838 0.0000
0.5000 0.5000 0.0000
0.6463 0.2162 0.0000
0.7159 0.9332 0.5000
0.7841 0.4332 0.5000
0.8537 0.7162 0.0000
0.0000 0.5000 0.0000
0.5000 0.0000 0.0000
0.0856 0.8255 0.5000
0.4144 0.3255 0.5000
0.5856 0.6745 0.5000
0.9144 0.1745 0.5000

***

# 15
La7Sn3Bi, optimized geometry, DFT PBE-GGA; ρ = 6.868 Mg/m³; DFT formation energy = -0.5609 eV per atom; space-group type = No. 12; size of the total moment = 0.00 Bohr magnetons per cell
1.0
5.7730 -6.1355 0.0000
5.7730 6.1355 0.0000
-3.3497 0.0000 5.2475
La Sn Bi
7 3 1
Direct
0.0000 0.0000 0.0000
0.1060 0.5855 0.3457
0.3380 0.3380 0.8384
0.4145 0.8940 0.6543
0.5855 0.1060 0.3457
0.6620 0.6620 0.1616
0.8940 0.4145 0.6543
0.2644 0.7356 0.0000
0.5000 0.5000 0.5000
0.7356 0.2644 0.0000
0.0000 0.0000 0.5000

***

# 16
La2SnBi, optimized geometry, DFT PBE-GGA; ρ = 6.983 Mg/m³; DFT formation energy = -0.8116 eV per atom; space-group type = No. 166; size of the total moment = 0.00 Bohr magnetons per cell
1.0
2.2826 1.3178 7.9776
-2.2826 1.3178 7.9776
0.0000 -2.6357 7.9776
La Sn Bi
2 1 1
Direct
0.2504 0.2504 0.2504
0.7496 0.7496 0.7496
0.5000 0.5000 0.5000
0.0000 0.0000 0.0000

***

# 17
La6SnBi5, optimized geometry, DFT PBE-GGA; ρ = 7.555 Mg/m³; DFT formation energy = -0.9706 eV per atom; space-group type = No. 12; size of the total moment = 0.00 Bohr magnetons per cell
1.0
4.0703 -7.0499 0.0000
4.0703 7.0499 0.0000
-2.7138 0.0000 7.6479
La Sn Bi
6 1 5
Direct
0.0825 0.4142 0.7477
0.2484 0.2484 0.2508
0.4142 0.0825 0.7477
0.5858 0.9175 0.2523
0.7516 0.7516 0.7492
0.9175 0.5858 0.2523
0.0000 0.0000 0.5000
0.1681 0.8319 0.0000
0.3337 0.6663 0.5000
0.5000 0.5000 0.0000
0.6663 0.3337 0.5000
0.8319 0.1681 0.0000

***

# 18
La4SnBi2, optimized geometry, DFT PBE-GGA; ρ = 6.203 Mg/m³; DFT formation energy = -0.3919 eV per atom; space-group type = No. 139; size of the total moment = 0.00 Bohr magnetons per cell
1.0
-2.9268 2.9268 8.5333
2.9268 -2.9268 8.5333
2.9268 2.9268 -8.5333
La Sn Bi
4 1 2
Direct
0.0000 0.5000 0.5000
0.1812 0.1812 0.0000
0.5000 0.0000 0.5000
0.8188 0.8188 0.0000
0.0000 0.0000 0.0000
0.3707 0.3707 0.0000
0.6293 0.6293 0.0000

***

# 19
La6SnBi, optimized geometry, DFT PBE-GGA; ρ = 7.476 Mg/m³; DFT formation energy = -0.5092 eV per atom; space-group type = No. 123; size of the total moment = 0.00 Bohr magnetons per cell
1.0
5.0517 0.0000 0.0000
0.0000 5.0517 0.0000
0.0000 0.0000 10.1063
La Sn Bi
6 1 1
Direct
0.0000 0.0000 0.0000
0.0000 0.0000 0.5000
0.0000 0.5000 0.2462
0.0000 0.5000 0.7538
0.5000 0.0000 0.2462
0.5000 0.0000 0.7538
0.5000 0.5000 0.0000
0.5000 0.5000 0.5000

***

# 20
La2SnBi2, optimized geometry, DFT PBE-GGA; ρ = 8.089 Mg/m³; DFT formation energy = -0.7086 eV per atom; space-group type = No. 127; size of the total moment = 0.00 Bohr magnetons per cell
1.0
8.6168 0.0000 0.0000
0.0000 8.6168 0.0000
0.0000 0.0000 4.5039
La Sn Bi
4 2 4
Direct
0.1578 0.3422 0.0000
0.3422 0.8422 0.0000
0.6578 0.1578 0.0000
0.8422 0.6578 0.0000
0.0000 0.0000 0.5000
0.5000 0.5000 0.5000
0.1490 0.6490 0.5000
0.3510 0.1490 0.5000
0.6490 0.8510 0.5000
0.8510 0.3510 0.5000

***

The evaluated electronic total energy for the records listed, in turn: -44.340; -52.777; -85.193; -20.531; -20.762; -22.059; -28.790; -42.774; -33.334; -74.665; -53.713; -17.296; -55.233; -84.861; -56.552; -20.985; -64.620; -34.218; -41.522; -50.325 eV per cell.